Entry 1:
Computed, not measured: a geometry-optimized Sb3AuN structure at the GGA-PBEsol level of DFT.

Cell and atoms, written as CIF:
```
data_Sb3AuN
_chemical_formula_sum 'Sb3 Au1 N1'
_cell_length_a 4.6695
_cell_length_b 4.6695
_cell_length_c 4.6695
_cell_angle_alpha 90.00
_cell_angle_beta 90.00
_cell_angle_gamma 90.00
_space_group_name_H-M_alt 'P m -3 m'
_space_group_IT_number 221
_space_group_name_Hall '-P 4 2 3'
loop_
_atom_site_label
_atom_site_type_symbol
_atom_site_fract_x
_atom_site_fract_y
_atom_site_fract_z
_atom_site_occupancy
Sb1 Sb 0.0000 0.0000 0.5000 1
Au1 Au 0.5000 0.5000 0.5000 1
N1 N 0.0000 0.0000 0.0000 1
```

Properties
The energy comes out at -23.56 eV/f.u. The value obtained for the size of the total moment is 0.00 μB/cell. The value obtained for the volume is 102 Å³ per cell.

=====

Entry 2:
Computed, not measured: a geometry-optimized Cr2NiPb structure at the GGA-PBEsol level of DFT.

Cell and atoms, written as CIF:
```
data_Cr2NiPb
_chemical_formula_sum 'Cr6 Ni3 Pb3'
_cell_length_a 2.9848
_cell_length_b 2.9848
_cell_length_c 23.2973
_cell_angle_alpha 90.00
_cell_angle_beta 90.00
_cell_angle_gamma 120.00
_space_group_name_H-M_alt 'R 3 m'
_space_group_IT_number 160
_space_group_name_Hall 'R 3 -2"'
loop_
_atom_site_label
_atom_site_type_symbol
_atom_site_fract_x
_atom_site_fract_y
_atom_site_fract_z
_atom_site_occupancy
Cr1 Cr 0.0000 0.0000 0.0000 1
Cr2 Cr 0.0000 0.0000 0.2709 1
Ni1 Ni 0.0000 0.0000 0.7403 1
Pb1 Pb 0.0000 0.0000 0.5000 1
```

Properties
The value obtained for the formation energy from the elements is 62.2 kJ per mole of atoms. The value obtained for the size of the total moment is 0.00 μB/cell. The value obtained for the volume is 180 Å³ per cell.

=====

Entry 3:
Computed, not measured: a geometry-optimized BaSbW2 structure at the GGA-PBEsol level of DFT.

Cell and atoms, written as CIF:
```
data_BaSbW2
_chemical_formula_sum 'Ba2 Sb2 W4'
_cell_length_a 3.2806
_cell_length_b 5.5338
_cell_length_c 10.5922
_cell_angle_alpha 90.00
_cell_angle_beta 90.00
_cell_angle_gamma 90.00
_space_group_name_H-M_alt 'I m m 2'
_space_group_IT_number 44
loop_
_space_group_symop_operation_xyz
'x,y,z'
'-x,-y,z'
'-x,y,z'
'x,-y,z'
'x+1/2,y+1/2,z+1/2'
'-x+1/2,-y+1/2,z+1/2'
'-x+1/2,y+1/2,z+1/2'
'x+1/2,-y+1/2,z+1/2'
loop_
_atom_site_label
_atom_site_type_symbol
_atom_site_fract_x
_atom_site_fract_y
_atom_site_fract_z
_atom_site_occupancy
Ba1 Ba 0.0000 0.0000 0.0000 1
Sb1 Sb 0.0000 0.5000 0.7910 1
W1 W 0.0000 0.0000 0.5375 1
W2 W 0.0000 0.5000 0.2068 1
```

Properties
The energy comes out at -30.54 eV/f.u. The value obtained for the size of the total moment is 0.00 μB/cell. The value obtained for the volume is 192 Å³ per cell.

=====

Entry 4:
Computed, not measured: a geometry-optimized Th4H15 structure at the GGA-PBEsol level of DFT.

Cell and atoms, written as CIF:
```
data_Th4H15
_chemical_formula_sum 'Th16 H60'
_cell_length_a 8.9689
_cell_length_b 8.9689
_cell_length_c 8.9689
_cell_angle_alpha 90.00
_cell_angle_beta 90.00
_cell_angle_gamma 90.00
_space_group_name_H-M_alt 'I -4 3 d'
_space_group_IT_number 220
_space_group_name_Hall 'I -4bd 2c 3'
loop_
_atom_site_label
_atom_site_type_symbol
_atom_site_fract_x
_atom_site_fract_y
_atom_site_fract_z
_atom_site_occupancy
Th1 Th 0.0400 0.4600 0.5400 1
H1 H 0.0000 0.2500 0.3750 1
H2 H 0.0269 0.3782 0.1617 1
```

Properties
The energy comes out at -91.43 eV/f.u. The value obtained for the size of the total moment is 0.00 μB/cell. The value obtained for the volume is 721 Å³ per cell.

=====

Entry 5:
Computed, not measured: a geometry-optimized TaZnCr2 structure at the GGA-PBEsol level of DFT.

Cell and atoms, written as CIF:
```
data_TaZnCr2
_chemical_formula_sum 'Ta1 Zn1 Cr2'
_cell_length_a 3.1275
_cell_length_b 3.1275
_cell_length_c 5.4713
_cell_angle_alpha 90.00
_cell_angle_beta 90.00
_cell_angle_gamma 90.00
_space_group_name_H-M_alt 'P 4/m m m'
_space_group_IT_number 123
_space_group_name_Hall '-P 4 2'
loop_
_atom_site_label
_atom_site_type_symbol
_atom_site_fract_x
_atom_site_fract_y
_atom_site_fract_z
_atom_site_occupancy
Ta1 Ta 0.0000 0.0000 0.0000 1
Zn1 Zn 0.0000 0.0000 0.5000 1
Cr1 Cr 0.5000 0.5000 0.2804 1
```

Properties
The value obtained for the formation energy from the elements is 20.3 kJ per mole of atoms. The value obtained for the size of the total moment is 0.00 μB/cell. The value obtained for the volume is 54 Å³ per cell.

=====

Entry 6:
Computed, not measured: a geometry-optimized BaSnPCl2 structure at the GGA-PBEsol level of DFT.

Cell and atoms, written as CIF:
```
data_BaSnPCl2
_chemical_formula_sum 'Ba1 Sn1 P1 Cl2'
_cell_length_a 5.6005
_cell_length_b 5.6005
_cell_length_c 5.8625
_cell_angle_alpha 90.00
_cell_angle_beta 90.00
_cell_angle_gamma 90.00
_space_group_name_H-M_alt 'P 4/m m m'
_space_group_IT_number 123
_space_group_name_Hall '-P 4 2'
loop_
_atom_site_label
_atom_site_type_symbol
_atom_site_fract_x
_atom_site_fract_y
_atom_site_fract_z
_atom_site_occupancy
Ba1 Ba 0.0000 0.0000 0.0000 1
Sn1 Sn 0.5000 0.5000 0.5000 1
P1 P 0.0000 0.0000 0.5000 1
Cl1 Cl 0.0000 0.5000 0.0000 1
```

Properties
The energy comes out at -17.59 eV/f.u. The value obtained for the size of the total moment is 0.37 μB/cell. The value obtained for the volume is 184 Å³ per cell.